An optimized crystal structure of Tb4Sm3ScS8, computed with PBE-GGA. Values from VASP.

- E_form (uncorrected): -1.98 eV/atom
- Space-group type: R-3m

```
&SYSTEM
  ibrav = 0, nat = 16, ntyp = 4
/
ATOMIC_SPECIES
Tb 158.93 Tb.upf
Sm 150.36 Sm.upf
Sc 44.96 Sc.upf
S 32.06 S.upf
CELL_PARAMETERS angstrom
3.9371 2.2731 6.4214
-3.9371 2.2731 6.4214
0.0000 -4.5461 6.4214
ATOMIC_POSITIONS crystal
Tb 0.0000 0.0000 0.0000
Tb 0.0000 0.5000 0.5000
Tb 0.5000 0.0000 0.5000
Tb 0.5000 0.5000 0.0000
Sm 0.0000 0.0000 0.5000
Sm 0.0000 0.5000 0.0000
Sm 0.5000 0.0000 0.0000
Sc 0.5000 0.5000 0.5000
S 0.2527 0.2527 0.2527
S 0.2560 0.2560 0.7388
S 0.2560 0.7388 0.2560
S 0.2612 0.7440 0.7440
S 0.7388 0.2560 0.2560
S 0.7440 0.2612 0.7440
S 0.7440 0.7440 0.2612
S 0.7473 0.7473 0.7473
```


An optimized crystal structure of OsAu, computed with PBE-GGA. Values from VASP.

- E above lowest polymorph: 0.872 eV/atom
- Formation enthalpy at 0 K: 112 kJ/mol of atoms
- Space-group type: P6_3/mmc

```
&SYSTEM
  ibrav = 0, nat = 4, ntyp = 2
/
ATOMIC_SPECIES
Os 190.23 Os.upf
Au 196.97 Au.upf
CELL_PARAMETERS angstrom
4.2415 0.0000 0.0000
-2.1207 3.6732 0.0000
0.0000 0.0000 4.8943
ATOMIC_POSITIONS crystal
Os 0.0000 0.0000 0.0000
Os 0.0000 0.0000 0.5000
Au 0.3333 0.6667 0.2500
Au 0.6667 0.3333 0.7500
```


An optimized crystal structure of Ge2H2Pd, computed with PBE-GGA. Values from VASP.

- Raw total energy: -19.87 eV/cell
- Space-group type: I4/mmm

```
&SYSTEM
  ibrav = 0, nat = 5, ntyp = 3
/
ATOMIC_SPECIES
Ge 72.64 Ge.upf
H 1.01 H.upf
Pd 106.42 Pd.upf
CELL_PARAMETERS angstrom
-1.5636 1.5636 5.9617
1.5636 -1.5636 5.9617
1.5636 1.5636 -5.9617
ATOMIC_POSITIONS crystal
Ge 0.1366 0.1366 0.0000
Ge 0.8634 0.8634 0.0000
H 0.2500 0.7500 0.5000
H 0.7500 0.2500 0.5000
Pd 0.5000 0.5000 0.0000
```


An optimized crystal structure of PaSiNiRu, computed with PBE-GGA. Values from VASP.

- E_form (uncorrected): -0.38 eV/atom
- Space-group type: Amm2

```
&SYSTEM
  ibrav = 0, nat = 4, ntyp = 4
/
ATOMIC_SPECIES
Pa 231.04 Pa.upf
Si 28.09 Si.upf
Ni 58.69 Ni.upf
Ru 101.07 Ru.upf
CELL_PARAMETERS angstrom
4.3776 0.0000 0.0000
0.0000 1.8823 4.3230
0.0000 -1.8823 4.3230
ATOMIC_POSITIONS crystal
Pa 0.0000 0.0000 0.0000
Si 0.5000 0.6076 0.6076
Ni 0.5000 0.3069 0.3069
Ru 0.0000 0.7283 0.7283
```


An optimized crystal structure of Zr6FeCl15, computed with PBE-GGA. Values from VASP.

- E_form (uncorrected): -1.64 eV/atom
- Space-group type: Im-3m

```
&SYSTEM
  ibrav = 0, nat = 22, ntyp = 3
/
ATOMIC_SPECIES
Zr 91.22 Zr.upf
Fe 55.84 Fe.upf
Cl 35.45 Cl.upf
CELL_PARAMETERS angstrom
-5.1971 5.1971 5.1971
5.1971 -5.1971 5.1971
5.1971 5.1971 -5.1971
ATOMIC_POSITIONS crystal
Zr 0.0000 0.2384 0.2384
Zr 0.0000 0.7616 0.7616
Zr 0.2384 0.0000 0.2384
Zr 0.2384 0.2384 0.0000
Zr 0.7616 0.0000 0.7616
Zr 0.7616 0.7616 0.0000
Fe 0.0000 0.0000 0.0000
Cl 0.0000 0.2460 0.7540
Cl 0.0000 0.5000 0.5000
Cl 0.0000 0.7540 0.2460
Cl 0.2460 0.0000 0.7540
Cl 0.2460 0.2460 0.4920
Cl 0.2460 0.4920 0.2460
Cl 0.2460 0.7540 0.0000
Cl 0.4920 0.2460 0.2460
Cl 0.5000 0.0000 0.5000
Cl 0.5000 0.5000 0.0000
Cl 0.5080 0.7540 0.7540
Cl 0.7540 0.0000 0.2460
Cl 0.7540 0.2460 0.0000
Cl 0.7540 0.5080 0.7540
Cl 0.7540 0.7540 0.5080
```


An optimized crystal structure of Pb2C, computed with PBE-GGA. Values from VASP.

- E above lowest polymorph: 0.300 eV/atom
- Formation enthalpy at 0 K: 130 kJ/mol of atoms
- Space-group type: P-62m

```
&SYSTEM
  ibrav = 0, nat = 9, ntyp = 2
/
ATOMIC_SPECIES
Pb 207.20 Pb.upf
C 12.01 C.upf
CELL_PARAMETERS angstrom
6.6634 0.0000 0.0000
-3.3317 5.7707 0.0000
0.0000 0.0000 5.6526
ATOMIC_POSITIONS crystal
Pb 0.0000 0.2984 0.0000
Pb 0.0000 0.6424 0.5000
Pb 0.2984 0.0000 0.0000
Pb 0.3576 0.3576 0.5000
Pb 0.6424 0.0000 0.5000
Pb 0.7016 0.7016 0.0000
C 0.0000 0.0000 0.5000
C 0.3333 0.6667 0.0000
C 0.6667 0.3333 0.0000
```